Record 1
# Tb2HoIr | Alexandria | GGA-PBE | relaxed
data_Tb2HoIr
_symmetry_space_group_name_H-M 'P n m a'
_symmetry_Int_Tables_number 62
_symmetry_space_group_name_Hall '-P 2ac 2n'
_cell_length_a 7.221
_cell_length_b 9.372
_cell_length_c 6.373
_cell_angle_alpha 90.00
_cell_angle_beta 90.00
_cell_angle_gamma 90.00
loop_
_atom_site_label
_atom_site_type_symbol
_atom_site_fract_x
_atom_site_fract_y
_atom_site_fract_z
Tb1 Tb 0.178 0.063 0.174
Ho1 Ho 0.035 0.250 0.634
Ir1 Ir 0.117 0.750 0.954
# crystal system = orthorhombic
# E above lowest polymorph = 0 meV per atom

---

Record 2
# Tb2HoIr | Alexandria | GGA-PBE | relaxed
data_Tb2HoIr
_symmetry_space_group_name_H-M 'R -3 m'
_symmetry_Int_Tables_number 166
_symmetry_space_group_name_Hall '-R 3 2"'
_cell_length_a 3.7368
_cell_length_b 3.7368
_cell_length_c 31.5015
_cell_angle_alpha 90.00
_cell_angle_beta 90.00
_cell_angle_gamma 120.00
loop_
_atom_site_label
_atom_site_type_symbol
_atom_site_fract_x
_atom_site_fract_y
_atom_site_fract_z
Tb1 Tb 0.0000 0.0000 0.1126
Ho1 Ho 0.0000 0.0000 0.0000
Ir1 Ir 0.0000 0.0000 0.5000
# crystal system = trigonal
# E above lowest polymorph = 468 meV per atom

---

Record 3
# TbHo2Ir2 | Alexandria | GGA-PBE | relaxed
data_TbHo2Ir2
_symmetry_space_group_name_H-M 'P -3 m 1'
_symmetry_Int_Tables_number 164
_symmetry_space_group_name_Hall '-P 3 2"'
_cell_length_a 4.7658
_cell_length_b 4.7658
_cell_length_c 6.0054
_cell_angle_alpha 90.00
_cell_angle_beta 90.00
_cell_angle_gamma 120.00
loop_
_atom_site_label
_atom_site_type_symbol
_atom_site_fract_x
_atom_site_fract_y
_atom_site_fract_z
Tb1 Tb 0.0000 0.0000 0.0000
Ho1 Ho 0.3333 0.6667 0.6631
Ir1 Ir 0.3333 0.6667 0.1729
# crystal system = trigonal
# E above lowest polymorph = 0 meV per atom

---

Record 4
# TbHo4Ir5 | Alexandria | GGA-PBE | relaxed
data_TbHo4Ir5
_symmetry_space_group_name_H-M 'P 4/m m m'
_symmetry_Int_Tables_number 123
_symmetry_space_group_name_Hall '-P 4 2'
_cell_length_a 3.344
_cell_length_b 3.344
_cell_length_c 17.820
_cell_angle_alpha 90.00
_cell_angle_beta 90.00
_cell_angle_gamma 90.00
loop_
_atom_site_label
_atom_site_type_symbol
_atom_site_fract_x
_atom_site_fract_y
_atom_site_fract_z
Tb1 Tb 0.000 0.000 0.000
Ho1 Ho 0.000 0.000 0.201
Ho2 Ho 0.000 0.000 0.400
Ir1 Ir 0.500 0.500 0.102
Ir2 Ir 0.500 0.500 0.301
Ir3 Ir 0.500 0.500 0.500
# crystal system = tetragonal

---

Record 5
# Tb3Ho4Ir4 | Alexandria | GGA-PBE | relaxed
data_Tb3Ho4Ir4
_symmetry_space_group_name_H-M 'I m m m'
_symmetry_Int_Tables_number 71
_symmetry_space_group_name_Hall '-I 2 2'
_cell_length_a 3.844
_cell_length_b 8.624
_cell_length_c 15.893
_cell_angle_alpha 90.00
_cell_angle_beta 90.00
_cell_angle_gamma 90.00
loop_
_atom_site_label
_atom_site_type_symbol
_atom_site_fract_x
_atom_site_fract_y
_atom_site_fract_z
Tb1 Tb 0.000 0.000 0.000
Tb2 Tb 0.000 0.500 0.101
Ho1 Ho 0.000 0.310 0.333
Ir1 Ir 0.000 0.000 0.248
Ir2 Ir 0.000 0.214 0.500
# crystal system = orthorhombic

---

Record 6
# TbHo5Ir4 | Alexandria | GGA-PBE | relaxed
data_TbHo5Ir4
_symmetry_space_group_name_H-M 'C 1 2/m 1'
_symmetry_Int_Tables_number 12
_symmetry_space_group_name_Hall '-C 2y'
_cell_length_a 17.933
_cell_length_b 4.260
_cell_length_c 7.322
_cell_angle_alpha 90.00
_cell_angle_beta 113.88
_cell_angle_gamma 90.00
loop_
_atom_site_label
_atom_site_type_symbol
_atom_site_fract_x
_atom_site_fract_y
_atom_site_fract_z
Tb1 Tb 0.000 0.000 0.000
Ho1 Ho 0.000 0.000 0.500
Ho2 Ho 0.166 0.500 0.409
Ho3 Ho 0.166 0.500 0.924
Ir1 Ir 0.000 0.500 0.260
Ir2 Ir 0.200 0.000 0.200
# crystal system = monoclinic

---

Record 7
# Tb2HoIr | Alexandria | GGA-PBE | relaxed
data_Tb2HoIr
_symmetry_space_group_name_H-M 'C m c m'
_symmetry_Int_Tables_number 63
_symmetry_space_group_name_Hall '-C 2c 2'
_cell_length_a 3.903
_cell_length_b 12.037
_cell_length_c 9.165
_cell_angle_alpha 90.00
_cell_angle_beta 90.00
_cell_angle_gamma 90.00
loop_
_atom_site_label
_atom_site_type_symbol
_atom_site_fract_x
_atom_site_fract_y
_atom_site_fract_z
Tb1 Tb 0.000 0.141 0.067
Ho1 Ho 0.000 0.424 0.250
Ir1 Ir 0.000 0.248 0.750
# crystal system = orthorhombic
# E above lowest polymorph = 39 meV per atom

---

Record 8
# TbHo2Ir9 | Alexandria | GGA-PBE | relaxed
data_TbHo2Ir9
_symmetry_space_group_name_H-M 'R -3 m'
_symmetry_Int_Tables_number 166
_symmetry_space_group_name_Hall '-R 3 2"'
_cell_length_a 5.3049
_cell_length_b 5.3049
_cell_length_c 26.3110
_cell_angle_alpha 90.00
_cell_angle_beta 90.00
_cell_angle_gamma 120.00
loop_
_atom_site_label
_atom_site_type_symbol
_atom_site_fract_x
_atom_site_fract_y
_atom_site_fract_z
Tb1 Tb 0.0000 0.0000 0.0000
Ho1 Ho 0.0000 0.0000 0.1393
Ir1 Ir 0.0000 0.0000 0.3329
Ir2 Ir 0.0000 0.0000 0.5000
Ir3 Ir 0.0004 0.5002 0.0823
# crystal system = trigonal

---

Record 9
# Tb4Ho3Ir4 | Alexandria | GGA-PBE | relaxed
data_Tb4Ho3Ir4
_symmetry_space_group_name_H-M 'I m m m'
_symmetry_Int_Tables_number 71
_symmetry_space_group_name_Hall '-I 2 2'
_cell_length_a 3.806
_cell_length_b 8.657
_cell_length_c 16.035
_cell_angle_alpha 90.00
_cell_angle_beta 90.00
_cell_angle_gamma 90.00
loop_
_atom_site_label
_atom_site_type_symbol
_atom_site_fract_x
_atom_site_fract_y
_atom_site_fract_z
Tb1 Tb 0.000 0.190 0.166
Ho1 Ho 0.000 0.000 0.400
Ho2 Ho 0.000 0.500 0.500
Ir1 Ir 0.000 0.286 0.000
Ir2 Ir 0.000 0.500 0.248
# crystal system = orthorhombic

---

Record 10
# Tb2Ho2Ir3 | Alexandria | GGA-PBE | relaxed
data_Tb2Ho2Ir3
_symmetry_space_group_name_H-M 'C 1 2/m 1'
_symmetry_Int_Tables_number 12
_symmetry_space_group_name_Hall '-C 2y'
_cell_length_a 8.315
_cell_length_b 4.799
_cell_length_c 8.408
_cell_angle_alpha 90.00
_cell_angle_beta 109.33
_cell_angle_gamma 90.00
loop_
_atom_site_label
_atom_site_type_symbol
_atom_site_fract_x
_atom_site_fract_y
_atom_site_fract_z
Tb1 Tb 0.125 0.000 0.375
Ho1 Ho 0.124 0.500 0.873
Ir1 Ir 0.000 0.000 0.000
Ir2 Ir 0.249 0.500 0.248
# crystal system = monoclinic
# E above lowest polymorph = 0 meV per atom

---

Record 11
# TbHo2Ir2 | Alexandria | GGA-PBE | relaxed
data_TbHo2Ir2
_symmetry_space_group_name_H-M 'P 1 21/m 1'
_symmetry_Int_Tables_number 11
_symmetry_space_group_name_Hall '-P 2yb'
_cell_length_a 5.503
_cell_length_b 4.375
_cell_length_c 10.378
_cell_angle_alpha 90.00
_cell_angle_beta 96.52
_cell_angle_gamma 90.00
loop_
_atom_site_label
_atom_site_type_symbol
_atom_site_fract_x
_atom_site_fract_y
_atom_site_fract_z
Tb1 Tb 0.100 0.250 0.291
Ho1 Ho 0.250 0.250 0.969
Ho2 Ho 0.392 0.250 0.618
Ir1 Ir 0.158 0.750 0.476
Ir2 Ir 0.266 0.750 0.141
# crystal system = monoclinic
# E above lowest polymorph = 50 meV per atom

---

Record 12
# Tb2HoIr | Alexandria | GGA-PBE | relaxed
data_Tb2HoIr
_symmetry_space_group_name_H-M 'P 4/m m m'
_symmetry_Int_Tables_number 123
_symmetry_space_group_name_Hall '-P 4 2'
_cell_length_a 3.506
_cell_length_b 3.506
_cell_length_c 8.722
_cell_angle_alpha 90.00
_cell_angle_beta 90.00
_cell_angle_gamma 90.00
loop_
_atom_site_label
_atom_site_type_symbol
_atom_site_fract_x
_atom_site_fract_y
_atom_site_fract_z
Tb1 Tb 0.000 0.000 0.187
Ho1 Ho 0.500 0.500 0.500
Ir1 Ir 0.500 0.500 0.000
# crystal system = tetragonal
# E above lowest polymorph = 209 meV per atom

---

Number 1: ΔE_f -2.291 eV/f.u., raw total energy -6.248 eV per atom, magnetization 0.0 Bohr magnetons per cell. Number 2: ΔE_f -0.419 eV/f.u., raw total energy -5.780 eV per atom, magnetization 1.8 Bohr magnetons per cell. Number 3: ΔE_f -3.973 eV/f.u., raw total energy -7.096 eV per atom, magnetization 0.0 Bohr magnetons per cell. Number 4: ΔE_f -8.264 eV/f.u., raw total energy -7.551 eV per atom, magnetization 0.0 Bohr magnetons per cell. Number 5: ΔE_f -7.523 eV/f.u., raw total energy -6.834 eV per atom, magnetization 0.0 Bohr magnetons per cell. Number 6: ΔE_f -6.745 eV/f.u., raw total energy -6.971 eV per atom, magnetization 0.0 Bohr magnetons per cell. Number 7: ΔE_f -2.134 eV/f.u., raw total energy -6.208 eV per atom, magnetization 0.0 Bohr magnetons per cell. Number 8: ΔE_f -7.098 eV/f.u., raw total energy -8.386 eV per atom, magnetization 0.0 Bohr magnetons per cell. Number 9: ΔE_f -7.207 eV/f.u., raw total energy -6.810 eV per atom, magnetization 0.0 Bohr magnetons per cell. Number 10: ΔE_f -5.744 eV/f.u., raw total energy -7.249 eV per atom, magnetization 0.0 Bohr magnetons per cell. Number 11: ΔE_f -3.721 eV/f.u., raw total energy -7.046 eV per atom, magnetization 0.0 Bohr magnetons per cell. Number 12: ΔE_f -1.456 eV/f.u., raw total energy -6.039 eV per atom, magnetization 0.0 Bohr magnetons per cell.